{
  "formula": "NpCr2BiO6",
  "functional": "PBE+U",
  "state": "relaxed",
  "vol_a3_per_cell": 132.8,
  "final_energy_ev_per_cell": -80.90,
  "lattice": [[5.518, 0.000, 0.000], [2.730, 4.955, 0.000], [0.013, 3.062, 4.856]],
  "species": ["Np", "Cr", "Cr", "Bi", "O", "O", "O", "O", "O", "O"],
  "fractional_positions": [[0.000, 0.000, 0.000], [0.211, 0.568, 0.633], [0.701, 0.593, 0.105], [0.488, 0.019, 0.471], [0.040, 0.536, 0.318], [0.332, 0.743, 0.831], [0.424, 0.714, 0.326], [0.588, 0.060, 0.842], [0.835, 0.131, 0.300], [0.909, 0.510, 0.824]]
}